[1]
Entry from the Alexandria database: NdBe3Os after structural relaxation (GGA-PBE).

```
5
Lattice="4.327 0.000 0.000 0.000 4.327 0.000 0.000 0.000 4.327" Properties=species:S:1:pos:R:3 pbc="T T T"
Nd 0.000 0.000 0.000
Be 0.000 2.163 2.163
Be 2.163 0.000 2.163
Be 2.163 2.163 0.000
Os 2.163 2.163 2.163
```

## Properties
The calculation puts the energy at -5.512 eV per atom. As for the total magnetization: 0.00 μB/cell.



[2]
Entry from the Alexandria database: NdBeOs after structural relaxation (GGA-PBE).

```
12
Lattice="6.513 0.000 0.000 0.000 6.513 0.000 0.000 0.000 5.677" Properties=species:S:1:pos:R:3 pbc="T T T"
Nd 1.508 1.508 0.000
Nd 1.748 4.764 1.419
Nd 4.764 1.748 4.258
Nd 5.005 5.005 2.839
Be 0.506 0.506 2.839
Be 2.750 3.762 4.258
Be 3.762 2.750 1.419
Be 6.007 6.007 0.000
Os 1.123 5.390 4.258
Os 2.133 2.133 2.839
Os 4.379 4.379 0.000
Os 5.390 1.123 1.419
```

## Properties
The calculation puts the energy at -6.281 eV per atom. As for the total magnetization: 0.00 μB/cell.



[3]
Entry from the Alexandria database: NdBeOs after structural relaxation (GGA-PBE).

```
3
Lattice="4.000 0.000 0.000 -2.000 3.464 0.000 0.000 0.000 4.089" Properties=species:S:1:pos:R:3 pbc="T T T"
Nd 0.000 0.000 0.000
Be 0.000 2.309 2.045
Os 2.000 1.155 2.045
```

## Properties
The calculation puts the energy at -6.591 eV per atom. As for the total magnetization: 0.00 μB/cell.



[4]
Entry from the Alexandria database: Nd2Be4Si3Os after structural relaxation (GGA-PBE).

```
10
Lattice="3.886 0.000 0.000 0.000 3.886 0.000 0.000 0.000 10.061" Properties=species:S:1:pos:R:3 pbc="T T T"
Nd 0.000 1.943 2.460
Nd 1.943 0.000 7.601
Be 0.000 0.000 0.000
Be 0.000 1.943 6.335
Be 1.943 0.000 3.726
Be 1.943 1.943 0.000
Si 0.000 1.943 8.772
Si 1.943 0.000 1.289
Si 1.943 1.943 5.030
Os 0.000 0.000 5.030
```

## Properties
The calculation puts the energy at -5.568 eV per atom. As for the total magnetization: 0.00 μB/cell. The energy relative to the elements, uncorrected is -3.74 eV per formula unit.



[5]
Entry from the Alexandria database: NdBe2SiOs after structural relaxation (GGA-PBE).

```
5
Lattice="-1.937 1.942 5.238 1.937 -1.942 5.238 1.937 1.942 -5.238" Properties=species:S:1:pos:R:3 pbc="T T T"
Nd 0.000 0.000 0.000
Be 0.000 0.000 3.925
Be 0.000 1.942 2.677
Si 0.000 0.000 6.591
Os 1.937 0.000 2.726
```

## Properties
The calculation puts the energy at -6.041 eV per atom. As for the total magnetization: 0.00 μB/cell. The energy relative to the elements, uncorrected is -1.33 eV per formula unit.



[6]
Entry from the Alexandria database: NdBeSi2Os2 after structural relaxation (GGA-PBE).

```
6
Lattice="4.257 0.000 0.000 0.000 4.257 0.000 0.000 0.000 5.310" Properties=species:S:1:pos:R:3 pbc="T T T"
Nd 0.000 0.000 0.000
Be 0.000 0.000 2.655
Si 2.128 2.128 1.258
Si 2.128 2.128 4.051
Os 0.000 2.128 2.655
Os 2.128 0.000 2.655
```

## Properties
The calculation puts the energy at -7.406 eV per atom. As for the total magnetization: 0.00 μB/cell. The energy relative to the elements, uncorrected is -2.63 eV per formula unit.



[7]
Entry from the Alexandria database: NdBeP2 after structural relaxation (GGA-PBE).

```
4
Lattice="2.130 1.230 7.136 -2.130 1.230 7.136 0.000 -2.460 7.136" Properties=species:S:1:pos:R:3 pbc="T T T"
Nd 0.000 0.000 0.000
Be 0.000 0.000 10.705
P 0.000 0.000 8.714
P 0.000 0.000 12.695
```

## Properties
The calculation puts the energy at -5.089 eV per atom. As for the total magnetization: 0.00 μB/cell.



[8]
Entry from the Alexandria database: NdBePPd after structural relaxation (GGA-PBE).

```
8
Lattice="4.126 0.000 0.000 0.000 4.126 0.000 0.000 0.000 8.739" Properties=species:S:1:pos:R:3 pbc="T T T"
Nd 1.031 1.031 1.608
Nd 3.094 3.094 7.132
Be 1.031 1.031 5.386
Be 3.094 3.094 3.353
P 1.031 1.031 7.472
P 3.094 3.094 1.267
Pd 1.031 3.094 4.370
Pd 3.094 1.031 4.370
```

## Properties
The calculation puts the energy at -5.711 eV per atom. As for the total magnetization: 0.00 μB/cell.



Question: total magnetization of number 8 (NdBePPd)?
Answer: 0.00 μB/cell